Entry 1:
MgTa2Tc: optimized geometry, PBE-GGA.

Structure (POSCAR):
```
MgTa2Tc
1.0
-4.8965 -1.0481 1.9337
-2.0719 -4.7571 -1.3749
4.1297 2.3913 2.4579
Mg Ta Tc
1 2 1
Cartesian
-0.7132 -2.6342 0.6811 Mg
-6.7844 -5.6519 0.5440 Ta
-3.6683 -3.0560 0.2941 Ta
-2.1255 -0.7797 2.3355 Tc
```

The energy comes out at -8.85 eV per atom.

=====

Entry 2:
MgTaTc: optimized geometry, PBE-GGA.

Structure (POSCAR):
```
MgTaTc
1.0
4.9104 0.0012 0.0007
2.1110 4.4335 -0.0007
-2.8619 -3.2447 2.3225
Mg Ta Tc
1 1 1
Cartesian
0.0065 0.0041 0.0000 Mg
2.3512 1.4850 0.0000 Ta
4.6638 2.9456 0.0000 Tc
```

The energy comes out at -7.77 eV per atom. The energy above the lowest structure with this stoichiometry is 169.0 meV/atom.